(1)
Gd2HgBi PBE relaxed; theoretical density = 10.8 g/cm3; E = -34.869 eV for the cell shown; D(E_F) = 4.0 states/eV per cell; energy relative to the elements = -631.1 meV/atom; distance to the lowest polymorph of the same formula = 0 meV per atom; space-group type = P4/mmm, No. 123
1.0
4.005 0.000 0.000
0.000 4.005 0.000
0.000 0.000 6.972
Bi Hg Gd
1 1 2
direct
0.500 0.500 0.000
0.500 0.500 0.500
0.000 0.000 0.250
0.000 0.000 0.750

***

(2)
Nd4CoAuI2 PBE relaxed; theoretical density = 7.2 g/cm3; E = -38.290 eV for the cell shown; ΔE_f (raw) = -0.717 eV per atom; D(E_F) = 6.8 states/eV per cell; space-group type = P2/m, No. 10
1.0
-0.588 3.814 -1.643
-3.476 2.145 6.222
8.177 1.725 1.080
Co Nd I Au
1 4 2 1
direct
0.500 0.500 0.000
0.500 0.266 0.188
0.000 0.715 0.185
0.000 0.285 0.815
0.500 0.734 0.812
0.500 0.000 0.500
0.000 0.500 0.500
0.000 0.000 0.000

***

(3)
BaMgCd2Ag4 PBE relaxed; theoretical density = 7.1 g/cm3; E = -18.005 eV for the cell shown; D(E_F) = 3.6 states/eV per cell; energy relative to the elements = -156.5 meV/atom; space-group type = R-3m, No. 166
1.0
-4.790 -0.189 0.148
-2.492 -0.835 -4.011
-1.998 -9.847 0.425
Ag Ba Cd Mg
4 1 2 1
direct
0.868 0.868 0.397
0.132 0.132 0.603
0.594 0.594 0.219
0.406 0.406 0.781
0.000 0.000 0.000
0.763 0.763 0.710
0.237 0.237 0.290
0.500 0.500 0.500

***

(4)
SmZrZnCd PBE relaxed; theoretical density = 7.6 g/cm3; E = -15.993 eV for the cell shown; D(E_F) = 5.7 states/eV per cell; energy relative to the elements = -134.2 meV/atom; space-group type = F-43m, No. 216
1.0
-2.355 2.021 4.010
-1.793 -3.007 3.669
2.238 -0.059 4.550
Cd Zr Zn Sm
1 1 1 1
direct
0.750 0.750 0.750
0.000 0.000 0.000
0.250 0.250 0.250
0.500 0.500 0.500

***

(5)
Cd2HgOs PBE relaxed; theoretical density = 12.8 g/cm3; E = -11.357 eV for the cell shown; D(E_F) = 4.0 states/eV per cell; energy relative to the elements = 501.2 meV/atom; space-group type = P4/mmm, No. 123
1.0
2.980 0.000 0.000
0.000 2.980 0.000
0.000 0.000 8.965
Os Cd Hg
1 2 1
direct
0.500 0.500 0.750
0.000 0.000 0.968
0.000 0.000 0.532
0.500 0.500 0.250

***

(6)
SmZnAgIr PBE relaxed; theoretical density = 11.1 g/cm3; E = -18.662 eV for the cell shown; D(E_F) = 1.7 states/eV per cell; energy relative to the elements = -239.2 meV/atom; space-group type = F-43m, No. 216
1.0
4.780 0.000 0.000
2.390 4.140 0.000
2.390 1.380 3.903
Zn Ir Ag Sm
1 1 1 1
direct
0.000 0.000 0.000
0.750 0.750 0.750
0.250 0.250 0.250
0.500 0.500 0.500

***

(7)
PrTm3Al PBE relaxed; theoretical density = 7.5 g/cm3; E = -88.451 eV for the cell shown; D(E_F) = 29.2 states/eV per cell; energy relative to the elements = -35.2 meV/atom; distance to the lowest polymorph of the same formula = 99 meV per atom; space-group type = C2/c, No. 15
1.0
6.793 0.043 0.032
1.643 9.916 0.880
1.643 3.750 9.221
Tm Pr Al
12 4 4
direct
0.414 0.003 0.330
0.910 0.998 0.341
0.590 0.659 0.002
0.413 0.692 0.681
0.587 0.308 0.319
0.914 0.330 0.003
0.087 0.319 0.308
0.090 0.002 0.659
0.086 0.670 0.997
0.586 0.997 0.670
0.410 0.341 0.998
0.913 0.681 0.692
0.250 0.959 0.041
0.750 0.041 0.959
0.750 0.644 0.356
0.250 0.356 0.644
0.289 0.578 0.274
0.211 0.726 0.422
0.789 0.274 0.578
0.711 0.422 0.726

***

(8)
SrFeCuP PBE relaxed; theoretical density = 5.2 g/cm3; E = -43.072 eV for the cell shown; D(E_F) = 5.9 states/eV per cell; energy relative to the elements = -471.4 meV/atom; space-group type = P4/nmm, No. 129
1.0
-1.609 -2.131 -2.607
2.865 -2.384 0.179
-5.183 -5.641 7.810
Sr P Cu Fe
2 2 2 2
direct
0.750 0.750 0.257
0.250 0.250 0.743
0.250 0.250 0.106
0.750 0.750 0.894
0.250 0.750 0.500
0.750 0.250 0.500
0.750 0.250 0.000
0.250 0.750 0.000

***

(9)
ScMn2NiC PBE relaxed; theoretical density = 6.3 g/cm3; E = -40.531 eV for the cell shown; D(E_F) = 4.5 states/eV per cell; energy relative to the elements = -171.1 meV/atom; space-group type = P4/mmm, No. 123
1.0
-1.716 3.013 1.773
0.234 -1.872 3.407
3.492 1.609 0.645
C Mn Ni Sc
1 2 1 1
direct
0.000 0.000 0.000
0.000 0.500 0.000
0.500 0.000 0.000
0.000 0.000 0.500
0.500 0.500 0.500

***

(10)
Ca3Ga6Au20 PBE relaxed; theoretical density = 13.0 g/cm3; E = -97.943 eV for the cell shown; D(E_F) = 6.3 states/eV per cell; energy relative to the elements = -283.8 meV/atom; space-group type = Fm-3m, No. 225
1.0
8.059 0.000 4.653
2.686 7.599 4.653
0.000 0.000 9.306
Ca Ga Au
3 6 20
direct
0.750 0.750 0.750
0.250 0.250 0.250
0.000 0.000 0.000
0.734 0.266 0.266
0.734 0.266 0.734
0.266 0.734 0.266
0.734 0.734 0.266
0.266 0.266 0.734
0.266 0.734 0.734
0.349 0.000 0.651
0.349 0.651 0.000
0.651 0.000 0.349
0.382 0.382 0.382
0.349 0.000 0.000
0.000 0.349 0.000
0.853 0.382 0.382
0.382 0.853 0.382
0.147 0.618 0.618
0.651 0.000 0.000
0.382 0.382 0.853
0.618 0.618 0.618
0.000 0.651 0.000
0.651 0.349 0.000
0.618 0.618 0.147
0.000 0.000 0.349
0.000 0.651 0.349
0.000 0.349 0.651
0.000 0.000 0.651
0.618 0.147 0.618

***

Q: Among the records above, which one has the lowest theoretical density?
A: SrFeCuP

***

Q: Among the records above, which one has the highest E?
A: Cd2HgOs

***

Q: Among the records above, which one has the highest D(E_F)?
A: PrTm3Al

***

Q: The highest E belongs to which entry?
A: Cd2HgOs